1.
Below is a relaxed structure of CsMg2InPd, with properties calculated at the PBE-GGA level.

abc: 5.3227 5.3227 5.3057
angles: 90.00 90.00 90.00
Atoms (fractional coordinates):
Cs (0.0000, 0.0000, 0.0000)
Mg (0.0000, 0.5000, 0.5000)
Mg (0.5000, 0.0000, 0.5000)
In (0.5000, 0.5000, 0.0000)
Pd (0.5000, 0.5000, 0.5000)

Values from the calculation:
crystal system: tetragonal
symmetry: P4/mmm, No. 123
ΔE_f: -179 meV/atom

2.
Below is a relaxed structure of CsRb2MgIn, with properties calculated at the PBE-GGA level.

abc: 7.3773 7.3773 5.6423
angles: 90.00 90.00 90.00
Atoms (fractional coordinates):
Cs (0.0000, 0.0000, 0.0000)
Rb (0.0000, 0.5000, 0.5000)
Rb (0.5000, 0.0000, 0.5000)
Mg (0.5000, 0.5000, 0.0000)
In (0.5000, 0.5000, 0.5000)

Values from the calculation:
crystal system: tetragonal
symmetry: P4/mmm, No. 123
ΔE_f: 110 meV/atom

3.
Below is a relaxed structure of CsMgIn2Ru, with properties calculated at the PBE-GGA level.

abc: 5.3075 5.3075 5.2747
angles: 90.00 90.00 90.00
Atoms (fractional coordinates):
Cs (0.0000, 0.0000, 0.0000)
Mg (0.5000, 0.5000, 0.0000)
In (0.0000, 0.5000, 0.5000)
In (0.5000, 0.0000, 0.5000)
Ru (0.5000, 0.5000, 0.5000)

Values from the calculation:
crystal system: tetragonal
symmetry: P4/mmm, No. 123
ΔE_f: -27 meV/atom

4.
Below is a relaxed structure of CsMgInS3, with properties calculated at the PBE-GGA level.

abc: 8.8634 3.9571 10.7616
angles: 90.00 114.12 90.00
Atoms (fractional coordinates):
Cs (0.2413, 0.2500, 0.2414)
Cs (0.7587, 0.7500, 0.7586)
Mg (0.3454, 0.7500, 0.9170)
Mg (0.6546, 0.2500, 0.0830)
In (0.1595, 0.2500, 0.6495)
In (0.8405, 0.7500, 0.3505)
S (0.1248, 0.2500, 0.8661)
S (0.1822, 0.7500, 0.5138)
S (0.4849, 0.2500, 0.8347)
S (0.5151, 0.7500, 0.1653)
S (0.8178, 0.2500, 0.4862)
S (0.8752, 0.7500, 0.1339)

Values from the calculation:
crystal system: monoclinic
symmetry: P2_1/m, No. 11
energy relative to the elements, uncorrected: -1.0123 eV per atom

5.
Below is a relaxed structure of CsMgInSb2, with properties calculated at the PBE-GGA level.

abc: 8.8677 8.8677 8.8677
angles: 149.29 149.29 43.99
Atoms (fractional coordinates):
Cs (0.0000, 0.0000, 0.0000)
Mg (0.2500, 0.7500, 0.5000)
In (0.7500, 0.2500, 0.5000)
Sb (0.3584, 0.3584, 0.0000)
Sb (0.6416, 0.6416, 0.0000)

Values from the calculation:
crystal system: tetragonal
symmetry: I-4m2, No. 119
energy relative to the elements, uncorrected: -0.4246 eV per atom

6.
Below is a relaxed structure of Cs2MgIn4Sn3, with properties calculated at the PBE-GGA level.

abc: 5.2125 5.2125 12.4020
angles: 90.00 90.00 90.00
Atoms (fractional coordinates):
Cs (0.0000, 0.5000, 0.2440)
Cs (0.5000, 0.0000, 0.7560)
Mg (0.0000, 0.0000, 0.5000)
In (0.0000, 0.0000, 0.0000)
In (0.0000, 0.5000, 0.6301)
In (0.5000, 0.0000, 0.3699)
In (0.5000, 0.5000, 0.0000)
Sn (0.0000, 0.5000, 0.8713)
Sn (0.5000, 0.0000, 0.1287)
Sn (0.5000, 0.5000, 0.5000)

Values from the calculation:
crystal system: tetragonal
symmetry: P-4m2, No. 115
ΔE_f: -137 meV/atom

7.
Below is a relaxed structure of CsMg2In2Sn2, with properties calculated at the PBE-GGA level.

abc: 5.1070 5.1070 10.4136
angles: 104.85 104.85 62.51
Atoms (fractional coordinates):
Cs (0.0000, 0.0000, 0.0000)
Mg (0.1414, 0.1414, 0.4272)
Mg (0.8586, 0.8586, 0.5728)
In (0.4475, 0.4475, 0.3431)
In (0.5525, 0.5525, 0.6569)
Sn (0.2401, 0.2401, 0.7281)
Sn (0.7599, 0.7599, 0.2719)

Values from the calculation:
crystal system: monoclinic
symmetry: C2/m, No. 12
ΔE_f: -140 meV/atom

8.
Below is a relaxed structure of CsMgIn2Sn2, with properties calculated at the PBE-GGA level.

abc: 5.1971 5.1971 8.7368
angles: 90.00 90.00 120.00
Atoms (fractional coordinates):
Cs (0.0000, 0.0000, 0.0000)
Mg (0.0000, 0.0000, 0.5000)
In (0.3333, 0.6667, 0.6540)
In (0.6667, 0.3333, 0.3460)
Sn (0.3333, 0.6667, 0.3067)
Sn (0.6667, 0.3333, 0.6933)

Values from the calculation:
crystal system: trigonal
symmetry: P-3m1, No. 164
ΔE_f: -128 meV/atom

9.
Below is a relaxed structure of CsMgInTe3, with properties calculated at the PBE-GGA level.

abc: 9.8878 4.4154 11.9018
angles: 90.00 112.79 90.00
Atoms (fractional coordinates):
Cs (0.2354, 0.2500, 0.2391)
Cs (0.7646, 0.7500, 0.7609)
Mg (0.3559, 0.7500, 0.9137)
Mg (0.6441, 0.2500, 0.0863)
In (0.1375, 0.2500, 0.6471)
In (0.8625, 0.7500, 0.3529)
Te (0.1226, 0.2500, 0.8745)
Te (0.1926, 0.7500, 0.5181)
Te (0.4934, 0.2500, 0.8285)
Te (0.5066, 0.7500, 0.1715)
Te (0.8074, 0.2500, 0.4819)
Te (0.8774, 0.7500, 0.1255)

Values from the calculation:
crystal system: monoclinic
symmetry: P2_1/m, No. 11
energy relative to the elements, uncorrected: -0.6983 eV per atom

10.
Below is a relaxed structure of Cs2MgTl4In3, with properties calculated at the PBE-GGA level.

abc: 5.2190 5.2190 12.9751
angles: 90.00 90.00 90.00
Atoms (fractional coordinates):
Cs (0.0000, 0.5000, 0.2489)
Cs (0.5000, 0.0000, 0.7511)
Mg (0.0000, 0.0000, 0.5000)
Tl (0.0000, 0.0000, 0.0000)
Tl (0.0000, 0.5000, 0.6284)
Tl (0.5000, 0.0000, 0.3716)
Tl (0.5000, 0.5000, 0.0000)
In (0.0000, 0.5000, 0.8667)
In (0.5000, 0.0000, 0.1333)
In (0.5000, 0.5000, 0.5000)

Values from the calculation:
crystal system: tetragonal
symmetry: P-4m2, No. 115
ΔE_f: -61 meV/atom